Co2BiCN (PBE, relaxed); magnetization = 0.446 μB per atom; formation energy without anion corrections = 5.33 eV per formula unit
1.0
3.611 0.000 0.000
0.000 3.611 0.000
0.000 0.000 5.511
Co Bi C N
2 1 1 1
Cartesian
0.000 1.806 0.000
1.806 0.000 0.000
0.000 0.000 2.755
0.000 0.000 0.000
1.806 1.806 2.755


SmTaN2 (PBE, relaxed); magnetization = 0.000 μB per atom; formation energy without anion corrections = -5.45 eV per formula unit
1.0
5.766 0.000 0.000
0.000 3.330 0.000
0.000 0.000 11.052
Sm Ta N
4 4 8
Cartesian
0.506 0.833 1.509
2.377 2.498 7.035
3.389 0.833 4.017
5.260 2.498 9.543
0.473 2.498 4.289
2.410 0.833 9.814
3.356 2.498 1.237
5.293 0.833 6.763
0.936 0.833 8.340
1.325 0.833 5.413
1.558 2.498 10.939
1.947 2.498 2.814
3.819 0.833 8.237
4.208 0.833 0.112
4.441 2.498 5.638
4.830 2.498 2.711


Np2Sb3Pd5 (PBE, relaxed); magnetization = 0.791 μB per atom; formation energy without anion corrections = -4.27 eV per formula unit
1.0
2.275 -12.290 0.000
2.275 12.290 0.000
0.000 0.000 7.382
Np Sb Pd
4 6 10
Cartesian
2.275 12.036 3.691
2.275 4.172 3.904
2.275 -4.172 0.213
2.275 -12.036 0.000
2.275 9.637 1.715
2.275 5.451 0.871
2.275 1.503 2.143
2.275 -1.503 5.834
2.275 -5.451 4.562
2.275 -9.637 5.406
2.275 9.459 5.197
2.275 7.291 3.055
2.275 6.649 5.936
2.275 3.029 7.092
2.275 1.103 4.989
2.275 -1.103 1.298
2.275 -3.029 3.401
2.275 -6.649 2.245
2.275 -7.291 6.746
2.275 -9.459 1.506


What did the third record say?
Np2Sb3Pd5 (PBE, relaxed); magnetization = 0.791 μB per atom; formation energy without anion corrections = -4.27 eV per formula unit
1.0
2.275 -12.290 0.000
2.275 12.290 0.000
0.000 0.000 7.382
Np Sb Pd
4 6 10
Cartesian
2.275 12.036 3.691
2.275 4.172 3.904
2.275 -4.172 0.213
2.275 -12.036 0.000
2.275 9.637 1.715
2.275 5.451 0.871
2.275 1.503 2.143
2.275 -1.503 5.834
2.275 -5.451 4.562
2.275 -9.637 5.406
2.275 9.459 5.197
2.275 7.291 3.055
2.275 6.649 5.936
2.275 3.029 7.092
2.275 1.103 4.989
2.275 -1.103 1.298
2.275 -3.029 3.401
2.275 -6.649 2.245
2.275 -7.291 6.746
2.275 -9.459 1.506


The lowest formation energy without anion corrections belongs to which entry? SmTaN2


Which of these has the lowest formation energy without anion corrections? SmTaN2


magnetization of number 1 (Co2BiCN)? 0.446 μB per atom